[1]
Compound: CdCu4Ag
Source: the Alexandria database
Functional: GGA-PBEsol
Structure: relaxed

Calculated values
Space-group type   F-43m, No. 216
Crystal system   cubic
VASP energy   -3.610 eV per atom

Cell: 4.8693 4.8693 4.8693 Å, 60.00 60.00 60.00°
Last column: nearest neighbours and their distance in Å.
Atoms (fractional coordinates):
Cd1 0.0000 0.0000 0.0000  12 Cu 2.86, 4 Ag 2.98
Cu1 0.3751 0.3751 0.3751  6 Cu 2.43-2.44
Cu2 0.3751 0.3751 0.8747  6 Cu 2.43-2.44
Cu3 0.3751 0.8747 0.3751  6 Cu 2.43-2.44
Cu4 0.8747 0.3751 0.3751  6 Cu 2.43-2.44
Ag1 0.7500 0.7500 0.7500  12 Cu 2.85, 4 Cd 2.98

---

[2]
Compound: Sr2CdCuAg
Source: the Alexandria database
Functional: GGA-PBEsol
Structure: relaxed

Calculated values
Space-group type   P4/mmm, No. 123
Crystal system   tetragonal
VASP energy   -2.430 eV per atom

Cell: 5.6459 5.6459 4.8568 Å, 90.00 90.00 90.00°
Last column: nearest neighbours and their distance in Å.
Atoms (fractional coordinates):
Sr1 0.0000 0.5000 0.0000  2 Cu 2.82
Sr2 0.5000 0.0000 0.0000  2 Cu 2.82
Cd1 0.0000 0.0000 0.5000  2 Cu 2.43
Cu1 0.0000 0.0000 0.0000  2 Cd 2.43
Ag1 0.5000 0.5000 0.5000  8 Sr 3.72, 4 Cd 3.99

---

[3]
Compound: EuCdAg2
Source: the Alexandria database
Functional: GGA-PBEsol
Structure: relaxed

Calculated values
Space-group type   Fm-3m, No. 225
Crystal system   cubic
VASP energy   -4.809 eV per atom

Cell: 4.9646 4.9646 4.9646 Å, 60.00 60.00 60.00°
Last column: nearest neighbours and their distance in Å.
Atoms (fractional coordinates):
Eu1 0.0000 0.0000 0.0000  8 Ag 3.04
Cd1 0.5000 0.5000 0.5000  8 Ag 3.04
Ag1 0.2500 0.2500 0.2500  4 Cd 3.04, 4 Eu 3.04
Ag2 0.7500 0.7500 0.7500  4 Cd 3.04, 4 Eu 3.04

---

[4]
Compound: Hf3Cd3AgF20
Source: the Alexandria database
Functional: GGA-PBEsol
Structure: relaxed

Calculated values
Space-group type   P6_3/m, No. 176
Crystal system   hexagonal
E_form (uncorrected)   -2991 meV per atom

Cell: 10.5060 10.5060 8.3472 Å, 90.00 90.00 120.00°
Last column: nearest neighbours and their distance in Å.
Atoms (fractional coordinates):
Hf1 0.1386 0.4163 0.2500  7 F 1.98-2.09
Hf2 0.2777 0.8614 0.2500  7 F 1.98-2.09
Hf3 0.4163 0.2777 0.7500  7 F 1.98-2.09
Hf4 0.5837 0.7223 0.2500  7 F 1.98-2.09
Hf5 0.7223 0.1386 0.7500  7 F 1.98-2.09
Hf6 0.8614 0.5837 0.7500  7 F 1.98-2.09
Cd1 0.1633 0.4328 0.7500  7 F 2.20-2.45
Cd2 0.2695 0.8367 0.7500  7 F 2.20-2.45
Cd3 0.4328 0.2695 0.2500  7 F 2.20-2.45
Cd4 0.5672 0.7305 0.7500  7 F 2.20-2.45
Cd5 0.7305 0.1633 0.2500  7 F 2.20-2.45
Cd6 0.8367 0.5672 0.2500  7 F 2.20-2.45
Ag1 0.0000 0.0000 0.2500  5 F 2.09-2.30
Ag2 0.0000 0.0000 0.7500  5 F 2.09-2.30
F1 0.0000 0.0000 0.0000  2 Ag 2.09
F2 0.0000 0.0000 0.5000  2 Ag 2.09
F3 0.0330 0.7993 0.7500  1 Hf 2.07, 1 Ag 2.30, 1 Cd 2.31
F4 0.0564 0.7749 0.2500  1 Hf 2.03, 1 Cd 2.25
F5 0.0582 0.5863 0.7500  1 Hf 2.05
F6 0.1453 0.4257 0.0136  1 Hf 1.98, 1 Cd 2.21
F7 0.1453 0.4257 0.4864  1 Hf 1.98, 1 Cd 2.21
F8 0.1845 0.6337 0.2500  2 Hf 2.08-2.09
F9 0.2007 0.2337 0.7500  1 Hf 2.07, 1 Ag 2.30, 1 Cd 2.31
F10 0.2251 0.2815 0.2500  1 Hf 2.03, 1 Cd 2.25
F11 0.2337 0.0330 0.2500  1 Hf 2.07, 1 Ag 2.30, 1 Cd 2.31
F12 0.2804 0.8547 0.0136  1 Hf 1.98, 1 Cd 2.21
F13 0.2804 0.8547 0.4864  1 Hf 1.98, 1 Cd 2.21
F14 0.2815 0.0564 0.7500  1 Hf 2.03, 1 Cd 2.25
F15 0.3333 0.6667 0.7500  3 Cd 2.20
F16 0.3663 0.5508 0.2500  2 Hf 2.08-2.09
F17 0.4137 0.4719 0.7500  1 Hf 2.05
F18 0.4257 0.2804 0.5136  1 Hf 1.98, 1 Cd 2.21
F19 0.4257 0.2804 0.9864  1 Hf 1.98, 1 Cd 2.21
F20 0.4492 0.8155 0.2500  2 Hf 2.08-2.09
F21 0.4719 0.0582 0.2500  1 Hf 2.05
F22 0.5281 0.9418 0.7500  1 Hf 2.05
F23 0.5508 0.1845 0.7500  2 Hf 2.08-2.09
F24 0.5743 0.7196 0.0136  1 Hf 1.98, 1 Cd 2.21
F25 0.5743 0.7196 0.4864  1 Hf 1.98, 1 Cd 2.21
F26 0.5863 0.5281 0.2500  1 Hf 2.05
F27 0.6337 0.4492 0.7500  2 Hf 2.08-2.09
F28 0.6667 0.3333 0.2500  3 Cd 2.20
F29 0.7185 0.9436 0.2500  1 Hf 2.03, 1 Cd 2.25
F30 0.7196 0.1453 0.5136  1 Hf 1.98, 1 Cd 2.21
F31 0.7196 0.1453 0.9864  1 Hf 1.98, 1 Cd 2.21
F32 0.7663 0.9670 0.7500  1 Hf 2.07, 1 Ag 2.30, 1 Cd 2.31
F33 0.7749 0.7185 0.7500  1 Hf 2.03, 1 Cd 2.25
F34 0.7993 0.7663 0.2500  1 Hf 2.07, 1 Ag 2.30, 1 Cd 2.31
F35 0.8155 0.3663 0.7500  2 Hf 2.08-2.09
F36 0.8547 0.5743 0.5136  1 Hf 1.98, 1 Cd 2.21
F37 0.8547 0.5743 0.9864  1 Hf 1.98, 1 Cd 2.21
F38 0.9418 0.4137 0.2500  1 Hf 2.05
F39 0.9436 0.2251 0.7500  1 Hf 2.03, 1 Cd 2.25
F40 0.9670 0.2007 0.2500  1 Hf 2.07, 1 Ag 2.30, 1 Cd 2.31